# 1
A plane-wave DFT calculation with PBE-GGA was carried out for an optimized crystal structure of SbAsPt2.

Values from the calculation:
- E_tot: -0.20162 hartree per atom
- Energy relative to the elements, uncorrected: -0.2730 eV per atom
- Energy relative to the lowest polymorph listed for this composition: 83 meV per atom

Cell lengths 7.093, 7.093, 7.093 Å; angles 31.02, 31.02, 31.02 degrees
Element x y z (fractional)
1 Sb 0.000 0.000 0.000
2 As 0.790 0.790 0.790
3 Pt 0.262 0.262 0.262
4 Pt 0.511 0.511 0.511

# 2
A plane-wave DFT calculation with PBE-GGA was carried out for an optimized crystal structure of CoMoPt2.

Values from the calculation:
- E_tot: -0.27881 hartree per atom
- DFT formation energy: -0.08 eV per atom
- Energy relative to the lowest polymorph listed for this composition: 112 meV per atom

Cell lengths 9.026, 9.026, 9.026 Å; angles 17.56, 17.56, 17.56 degrees
Element x y z (fractional)
1 Co 0.000 0.000 0.000
2 Mo 0.500 0.500 0.500
3 Pt 0.253 0.253 0.253
4 Pt 0.747 0.747 0.747

# 3
A plane-wave DFT calculation with PBE-GGA was carried out for an optimized crystal structure of HoMg4Ni2.

Values from the calculation:
- E_tot: -0.12347 hartree per atom
- DFT formation energy: -0.14 eV per atom

Cell lengths 8.271, 8.271, 4.166 Å; angles 90.00, 90.00, 151.43 degrees
Element x y z (fractional)
1 Ho 0.000 0.000 0.000
2 Mg 0.173 0.827 0.500
3 Mg 0.329 0.671 0.000
4 Mg 0.671 0.329 0.000
5 Mg 0.827 0.173 0.500
6 Ni 0.429 0.571 0.500
7 Ni 0.571 0.429 0.500

# 4
A plane-wave DFT calculation with PBE-GGA was carried out for an optimized crystal structure of Ag2PCl.

Values from the calculation:
- E_tot: -0.11378 hartree per atom
- Energy relative to the elements, uncorrected: 0.1438 eV per atom
- Energy relative to the lowest polymorph listed for this composition: 121 meV per atom

Cell lengths 3.199, 3.199, 7.215 Å; angles 90.00, 90.00, 90.00 degrees
Element x y z (fractional)
1 Ag 0.000 0.000 0.222
2 Ag 0.000 0.000 0.778
3 P 0.500 0.500 0.000
4 Cl 0.500 0.500 0.500

# 5
A plane-wave DFT calculation with PBE-GGA was carried out for an optimized crystal structure of HoBe17Co.

Values from the calculation:
- E_tot: -0.14704 hartree per atom
- DFT formation energy: -0.05 eV per atom

Cell lengths 5.632, 5.632, 5.632 Å; angles 83.12, 83.12, 83.12 degrees
Element x y z (fractional)
1 Ho 0.000 0.000 0.000
2 Be 0.008 0.008 0.494
3 Be 0.008 0.494 0.008
4 Be 0.151 0.663 0.663
5 Be 0.317 0.317 0.784
6 Be 0.317 0.784 0.317
7 Be 0.367 0.647 0.957
8 Be 0.367 0.957 0.647
9 Be 0.494 0.008 0.008
10 Be 0.557 0.557 0.557
11 Be 0.647 0.367 0.957
12 Be 0.647 0.957 0.367
13 Be 0.663 0.151 0.663
14 Be 0.663 0.663 0.151
15 Be 0.751 0.751 0.751
16 Be 0.784 0.317 0.317
17 Be 0.957 0.367 0.647
18 Be 0.957 0.647 0.367
19 Co 0.345 0.345 0.345

# 6
A plane-wave DFT calculation with PBE-GGA was carried out for an optimized crystal structure of Tm5In4Pt2.

Values from the calculation:
- E_tot: -0.18199 hartree per atom
- DFT formation energy: -0.83 eV per atom

Cell lengths 8.029, 18.081, 3.599 Å; angles 90.00, 90.00, 90.00 degrees
Element x y z (fractional)
1 Tm 0.000 0.000 0.000
2 Tm 0.116 0.415 0.000
3 Tm 0.245 0.220 0.000
4 Tm 0.255 0.720 0.000
5 Tm 0.384 0.915 0.000
6 Tm 0.500 0.500 0.000
7 Tm 0.616 0.085 0.000
8 Tm 0.745 0.280 0.000
9 Tm 0.755 0.780 0.000
10 Tm 0.884 0.585 0.000
11 In 0.075 0.852 0.500
12 In 0.209 0.567 0.500
13 In 0.291 0.067 0.500
14 In 0.425 0.352 0.500
15 In 0.575 0.648 0.500
16 In 0.709 0.933 0.500
17 In 0.791 0.433 0.500
18 In 0.925 0.148 0.500
19 Pt 0.029 0.304 0.500
20 Pt 0.471 0.804 0.500
21 Pt 0.529 0.196 0.500
22 Pt 0.971 0.696 0.500